TlHgMo2F, relaxed, DFT PBE+U; total magnetic moment = 9.7 μB per cell; E = -2.820 eV/atom
1.0
5.5731 0.0000 0.0000
0.0000 5.5731 0.0000
0.0000 0.0000 5.8659
Tl Hg Mo F
1 1 2 1
Direct
0.0000 0.0000 0.0000 Tl
0.0000 0.0000 0.5000 Hg
0.0000 0.5000 0.5000 Mo
0.5000 0.0000 0.5000 Mo
0.5000 0.5000 0.0000 F